[1]
Sr2RhPbI: relaxed, PBE-GGA.

Output
**Total magnetization**: 0.0 μB per cell
**Calculated volume**: 36.6 Å³/atom
**Formation energy from raw total energies**: -0.63 eV/atom

```
data_Sr2RhPbI
_chemical_formula_sum 'Sr2 Rh1 Pb1 I1'
_cell_length_a 5.977
_cell_length_b 5.977
_cell_length_c 5.122
_cell_angle_alpha 90.00
_cell_angle_beta 90.00
_cell_angle_gamma 90.00
_symmetry_space_group_name_H-M 'P 4/m m m'
_symmetry_Int_Tables_number 123
_symmetry_space_group_name_Hall '-P 4 2'
loop_
_atom_site_label
_atom_site_type_symbol
_atom_site_fract_x
_atom_site_fract_y
_atom_site_fract_z
Sr1 Sr 0.000 0.500 0.000
Rh1 Rh 0.000 0.000 0.000
Pb1 Pb 0.000 0.000 0.500
I1 I 0.500 0.500 0.500
```



[2]
CrMo2Os: relaxed, PBE-GGA.

Output
**Total magnetization**: 0.0 μB per cell
**ΔE_f**: 0.245 eV per atom
**Calculated volume**: 14.6 Å³/atom
**ΔE to the lowest computed polymorph**: 2.96 kcal/mol of atoms

```
data_CrMo2Os
_chemical_formula_sum 'Cr2 Mo4 Os2'
_cell_length_a 3.867
_cell_length_b 3.867
_cell_length_c 7.836
_cell_angle_alpha 90.00
_cell_angle_beta 90.00
_cell_angle_gamma 90.00
_symmetry_space_group_name_H-M 'I -4 m 2'
_symmetry_Int_Tables_number 119
_symmetry_space_group_name_Hall 'I -4 -2'
loop_
_atom_site_label
_atom_site_type_symbol
_atom_site_fract_x
_atom_site_fract_y
_atom_site_fract_z
Cr1 Cr 0.000 0.000 0.000
Mo1 Mo 0.000 0.000 0.500
Mo2 Mo 0.000 0.500 0.750
Os1 Os 0.000 0.500 0.250
```



[3]
PrThPb: relaxed, PBE-GGA.

Output
**Total magnetization**: 0.0 μB per cell
**ΔE_f**: -0.036 eV per atom
**Calculated volume**: 32.5 Å³/atom
**ΔE to the lowest computed polymorph**: 8.00 kcal/mol of atoms

```
data_PrThPb
_chemical_formula_sum 'Pr1 Th1 Pb1'
_cell_length_a 5.5757
_cell_length_b 5.5757
_cell_length_c 3.6201
_cell_angle_alpha 90.00
_cell_angle_beta 90.00
_cell_angle_gamma 120.00
_symmetry_space_group_name_H-M 'P 3 m 1'
_symmetry_Int_Tables_number 156
_symmetry_space_group_name_Hall 'P 3 -2"'
loop_
_atom_site_label
_atom_site_type_symbol
_atom_site_fract_x
_atom_site_fract_y
_atom_site_fract_z
Pr1 Pr 0.0000 0.0000 0.0000
Th1 Th 0.3333 0.6667 0.4620
Pb1 Pb 0.6667 0.3333 0.7356
```



[4]
Ce8BiIr2: relaxed, PBE-GGA.

Output
**Total magnetization**: 8.2 μB per cell
**ΔE_f**: -0.374 eV per atom
**Calculated volume**: 27.2 Å³/atom

```
data_Ce8BiIr2
_chemical_formula_sum 'Ce16 Bi2 Ir4'
_cell_length_a 8.443
_cell_length_b 13.380
_cell_length_c 5.429
_cell_angle_alpha 90.00
_cell_angle_beta 102.79
_cell_angle_gamma 90.00
_symmetry_space_group_name_H-M 'C 1 2/m 1'
_symmetry_Int_Tables_number 12
_symmetry_space_group_name_Hall '-C 2y'
loop_
_atom_site_label
_atom_site_type_symbol
_atom_site_fract_x
_atom_site_fract_y
_atom_site_fract_z
Ce1 Ce 0.000 0.245 0.000
Ce2 Ce 0.080 0.000 0.811
Ce3 Ce 0.201 0.392 0.561
Bi1 Bi 0.000 0.500 0.000
Ir1 Ir 0.000 0.208 0.500
```



Among the records above, which one has the highest calculated volume? Sr2RhPbI



Among the records above, which one has the highest total magnetization? Ce8BiIr2



Which of these has the lowest calculated volume? CrMo2Os